# Sb3PRh PBE-GGA relaxed
# **E above lowest polymorph**: 0.3067 eV/atom
# **Raw formation energy**: 0.8918 eV per atom
# **Fermi-level density of states**: 0.677 states/eV per atom
data_Sb3PRh
_chemical_formula_sum 'Sb3 P1 Rh1'
_space_group_name_H-M_alt 'P m -3 m'
_space_group_IT_number 221
_space_group_name_Hall '-P 4 2 3'
_cell_length_a 5.018
_cell_length_b 5.018
_cell_length_c 5.018
_cell_angle_alpha 90.00
_cell_angle_beta 90.00
_cell_angle_gamma 90.00
loop_
_atom_site_label
_atom_site_type_symbol
_atom_site_fract_x
_atom_site_fract_y
_atom_site_fract_z
Sb1 Sb 0.000 0.000 0.500
P1 P 0.000 0.000 0.000
Rh1 Rh 0.500 0.500 0.500

# SbPRh PBE-GGA relaxed
# **E above lowest polymorph**: 0.1659 eV/atom
# **Raw formation energy**: -0.3970 eV per atom
# **Fermi-level density of states**: 0.269 states/eV per atom
data_SbPRh
_chemical_formula_sum 'Sb4 P4 Rh4'
_space_group_name_H-M_alt 'P n m a'
_space_group_IT_number 62
_space_group_name_Hall '-P 2ac 2n'
_cell_length_a 10.718
_cell_length_b 3.381
_cell_length_c 6.626
_cell_angle_alpha 90.00
_cell_angle_beta 90.00
_cell_angle_gamma 90.00
loop_
_atom_site_label
_atom_site_type_symbol
_atom_site_fract_x
_atom_site_fract_y
_atom_site_fract_z
Sb1 Sb 0.198 0.250 0.048
P1 P 0.034 0.250 0.335
Rh1 Rh 0.117 0.250 0.665